Entry 1:
The following is a PBE calculation of a relaxed Sn2H6IrPt crystal, from Alexandria via LeMat-Bulk.

Crystal system: monoclinic

Structure (POSCAR):
```
Sn2H6IrPt
1.0
3.294 -3.379 0.000
3.294 3.379 0.000
-1.467 0.000 5.585
Sn H Ir Pt
2 6 1 1
direct
0.244 0.756 0.000
0.756 0.244 0.000
0.115 0.597 0.425
0.125 0.125 0.458
0.409 0.409 0.613
0.597 0.115 0.425
0.598 0.598 0.422
0.897 0.897 0.660
0.330 0.330 0.323
0.850 0.850 0.360
```

---

Entry 2:
The following is a PBE calculation of a relaxed SrH2IrPt crystal, from Alexandria via LeMat-Bulk.

Polymorph energy (0 for the lowest one) in eV/atom: 0.1539
Crystal system: orthorhombic

Structure (POSCAR):
```
SrH2IrPt
1.0
-1.560 2.126 5.298
1.560 -2.126 5.298
1.560 2.126 -5.298
Sr H Ir Pt
1 2 1 1
direct
0.000 0.000 0.000
0.376 0.876 0.500
0.636 0.136 0.500
0.296 0.296 0.000
0.708 0.708 0.000
```

---

Entry 3:
The following is a PBE calculation of a relaxed SrH2IrPt crystal, from Alexandria via LeMat-Bulk.

Polymorph energy (0 for the lowest one) in eV/atom: 0.0717
Crystal system: triclinic

Structure (POSCAR):
```
SrH2IrPt
1.0
3.896 0.000 0.000
0.021 4.004 0.000
0.397 0.361 4.935
Sr H Ir Pt
1 2 1 1
direct
0.000 0.000 0.000
0.360 0.351 0.307
0.640 0.649 0.693
0.500 0.000 0.500
0.000 0.500 0.500
```

---

Number 1: uncorrected energy -0.156 hartree per atom. Number 2: uncorrected energy -0.177 hartree per atom. Number 3: uncorrected energy -0.180 hartree per atom.